[1]
Material: S
Method: DFT, PBE
State: optimized geometry

Structure (POSCAR):
```
S
1.0
3.926 0.000 0.000
-1.963 3.400 0.000
0.000 0.000 9.477
S
4
Cartesian
0.000 2.266 4.462 S
1.963 1.133 5.015 S
0.000 2.266 0.277 S
1.963 1.133 9.200 S
```

Values from the calculation:
total magnetization	0.00	μB/atom
DFT total energy	-3.4808	eV/atom
formation energy (no corrections)	646.7	meV per atom

---

[2]
Material: S
Method: DFT, PBE
State: optimized geometry

Structure (POSCAR):
```
S
1.0
-6.591 -6.036 -5.906
8.433 -4.305 -5.012
0.219 -3.754 3.593
S
16
Cartesian
-2.201 -7.054 -7.237 S
-4.018 -4.076 -4.014 S
4.154 -7.020 -3.824 S
-0.727 -5.275 -1.704 S
5.859 -6.265 -6.904 S
3.668 -5.752 -2.469 S
-1.664 -3.089 -3.127 S
-2.094 -7.075 -3.501 S
2.720 -1.698 -1.940 S
3.505 -7.252 -7.791 S
2.787 -8.820 -5.621 S
-1.608 -8.344 -4.856 S
-0.878 -8.643 -8.977 S
4.042 -3.287 -3.681 S
0.933 -9.213 -5.919 S
1.127 -4.883 -1.406 S
```

Values from the calculation:
total magnetization	0.13	μB/atom
DFT total energy	-3.8284	eV/atom
formation energy (no corrections)	299.1	meV per atom

---

[3]
Material: S
Method: DFT, PBE
State: optimized geometry

Structure (POSCAR):
```
S
1.0
-1.881 6.985 -4.060
-1.014 -5.626 -9.209
-10.046 -2.174 0.914
S
28
Cartesian
-10.995 2.763 -5.928 S
-9.031 -3.478 -3.869 S
-7.649 -2.139 -7.438 S
-7.772 0.925 -8.555 S
-4.489 -0.604 -5.364 S
-9.351 3.374 -5.011 S
-3.590 -4.189 -7.344 S
-5.169 -1.740 -3.800 S
-4.785 0.642 -1.601 S
-9.489 -2.818 -10.216 S
-9.154 -3.267 -8.055 S
-7.821 -1.513 -0.270 S
-1.946 -3.578 -6.427 S
-8.926 0.451 -10.179 S
-3.375 -0.423 -9.496 S
-3.787 2.452 -4.300 S
-4.015 -1.266 -2.176 S
-8.156 -1.457 -10.754 S
-3.285 0.195 -11.539 S
-3.452 2.003 -2.139 S
-5.120 0.698 -12.085 S
-10.422 -1.974 -3.840 S
-9.566 -0.392 -2.859 S
-2.519 1.158 -8.515 S
-3.910 2.663 -8.486 S
-9.656 -1.010 -0.816 S
-8.452 -0.211 -6.991 S
-5.292 1.324 -4.917 S
```

Values from the calculation:
total magnetization	0.00	μB/atom
DFT total energy	-4.0876	eV/atom
formation energy (no corrections)	39.9	meV per atom

---

[4]
Material: S
Method: DFT, PBE
State: optimized geometry

Structure (POSCAR):
```
S
1.0
5.789 0.000 0.000
0.000 5.789 0.000
0.000 0.000 5.789
S
8
Cartesian
4.342 4.342 1.447 S
1.447 1.447 1.447 S
4.342 1.447 4.342 S
0.000 2.894 2.894 S
0.000 0.000 0.000 S
2.894 2.894 0.000 S
1.447 4.342 4.342 S
2.894 0.000 2.894 S
```

Values from the calculation:
total magnetization	0.00	μB/atom
DFT total energy	-3.1225	eV/atom
formation energy (no corrections)	1004.9	meV per atom

---

[5]
Material: S
Method: DFT, PBE
State: optimized geometry

Structure (POSCAR):
```
S
1.0
6.640 0.000 0.000
-2.604 6.108 0.000
-2.604 -3.942 4.665
S
6
Cartesian
3.538 4.310 0.478 S
-2.107 -2.144 4.187 S
2.577 -2.826 4.085 S
-1.146 4.992 0.580 S
5.041 -0.140 1.065 S
-3.611 2.306 3.601 S
```

Values from the calculation:
total magnetization	0.00	μB/atom
DFT total energy	-4.0618	eV/atom
formation energy (no corrections)	65.7	meV per atom

---

[6]
Material: S
Method: DFT, PBE
State: optimized geometry

Structure (POSCAR):
```
S
1.0
-5.146 0.006 4.342
-4.637 -4.615 -1.596
2.846 -5.433 4.474
S
10
Cartesian
-2.836 -2.904 4.101 S
-6.695 -6.518 3.947 S
-1.446 -5.319 6.724 S
-4.102 -7.137 3.120 S
-0.265 -5.659 3.489 S
-5.492 -4.722 0.496 S
-6.498 -3.643 1.725 S
-6.673 -4.382 3.732 S
-0.243 -3.523 3.274 S
-0.440 -6.398 5.496 S
```

Values from the calculation:
total magnetization	0.00	μB/atom
DFT total energy	-3.9321	eV/atom
formation energy (no corrections)	195.3	meV per atom

---

[7]
Material: S
Method: DFT, PBE
State: optimized geometry

Structure (POSCAR):
```
S
1.0
-5.172 -4.438 -4.847
-1.706 -8.178 9.310
-17.693 12.330 7.589
S
72
Cartesian
-7.496 -4.034 6.776 S
-11.831 0.349 2.171 S
-11.652 -5.266 3.660 S
-12.716 4.338 2.634 S
-9.797 -4.963 2.793 S
-16.552 9.931 6.798 S
-11.413 -8.581 5.919 S
-14.736 6.138 7.805 S
-20.041 4.587 7.767 S
-2.937 -6.819 9.125 S
-18.316 10.115 5.734 S
-16.238 -1.041 5.621 S
-9.072 -2.926 6.015 S
-10.450 0.262 3.710 S
-14.028 -1.831 11.634 S
-13.958 -6.669 6.828 S
-17.541 2.583 6.913 S
-8.115 -6.010 6.732 S
-3.629 0.940 2.179 S
-16.259 -3.039 6.150 S
-5.849 -4.998 1.833 S
-5.517 -7.875 5.870 S
-10.504 -4.465 9.852 S
-8.540 0.556 2.989 S
-16.995 9.701 8.804 S
-16.373 2.179 8.574 S
-3.859 -6.636 5.900 S
-12.030 -1.550 1.378 S
-8.044 -1.530 0.471 S
-9.994 -2.030 7.623 S
-13.162 4.088 4.638 S
-17.338 7.689 9.146 S
-6.077 -6.891 1.031 S
-16.828 3.735 12.938 S
-5.186 2.070 1.413 S
-13.407 -2.599 2.509 S
-6.175 -1.232 -0.369 S
-16.617 2.012 3.059 S
-7.157 -6.875 5.118 S
-20.083 4.507 9.836 S
-16.357 -3.141 8.215 S
-13.868 0.232 7.628 S
-16.446 6.565 4.011 S
-18.314 -3.133 8.853 S
-11.430 -3.280 8.434 S
-17.331 5.710 13.252 S
-18.358 3.028 2.603 S
-18.100 4.570 7.082 S
-4.909 -0.735 5.600 S
-20.105 2.513 10.386 S
-2.303 -2.351 4.354 S
-15.761 -0.816 11.183 S
-18.867 -1.147 9.052 S
-14.290 -0.347 5.685 S
-14.878 3.721 12.253 S
-19.013 8.215 5.294 S
-11.394 3.877 5.688 S
-3.846 -5.624 7.702 S
-10.459 -3.450 11.654 S
-12.403 -3.408 4.129 S
-18.199 7.547 3.523 S
-14.412 2.199 7.922 S
-12.328 -7.704 7.551 S
-5.453 -3.091 -0.880 S
-22.058 1.838 10.345 S
-15.582 6.718 9.604 S
-2.670 0.080 0.573 S
-4.458 -3.955 0.716 S
-4.204 -2.614 5.108 S
-7.792 -1.311 2.516 S
-15.845 1.330 1.273 S
-16.619 -0.263 12.985 S
```

Values from the calculation:
total magnetization	0.00	μB/atom
DFT total energy	-4.1071	eV/atom
formation energy (no corrections)	20.4	meV per atom

---

[8]
Material: S
Method: DFT, PBE
State: optimized geometry

Structure (POSCAR):
```
S
1.0
8.170 0.000 0.000
0.000 8.170 0.000
0.000 0.000 8.170
S
16
Cartesian
6.680 1.490 1.490 S
1.490 1.490 6.680 S
2.595 5.575 2.595 S
2.595 5.575 5.575 S
1.490 1.490 1.490 S
5.575 5.575 2.595 S
5.575 5.575 5.575 S
1.490 6.680 1.490 S
6.680 1.490 6.680 S
2.595 2.595 2.595 S
6.680 6.680 1.490 S
1.490 6.680 6.680 S
5.575 2.595 5.575 S
2.595 2.595 5.575 S
5.575 2.595 2.595 S
6.680 6.680 6.680 S
```

Values from the calculation:
total magnetization	0.00	μB/atom
DFT total energy	-3.7291	eV/atom
formation energy (no corrections)	398.4	meV per atom